This record from Alexandria via LeMat-Bulk describes a crystal of LiGeCI2 relaxed with PBEsol. The functional is meta-GGA SCAN.

Summary:
energy relative to the elements, uncorrected	1.51	eV per atom

Cell lengths 5.188, 5.188, 4.666 Å; angles 90.00, 90.00, 90.00 degrees
Fractional positions:
1 Li 0.000 0.000 0.000
2 Ge 0.000 0.000 0.500
3 C 0.500 0.500 0.500
4 I 0.000 0.500 0.000
5 I 0.500 0.000 0.000

---

This record from Alexandria via LeMat-Bulk describes a crystal of InGe3C relaxed with PBEsol. The functional is meta-GGA SCAN.

Summary:
E_tot	-17.891	eV per atom

Cell lengths 5.125, 5.125, 5.125 Å; angles 90.00, 90.00, 90.00 degrees
Fractional positions:
1 In 0.000 0.000 0.000
2 Ge 0.000 0.000 0.500
3 Ge 0.000 0.500 0.000
4 Ge 0.500 0.000 0.000
5 C 0.500 0.500 0.500

---

This record from Alexandria via LeMat-Bulk describes a crystal of InGeC3 relaxed with PBEsol. The functional is meta-GGA SCAN.

Summary:
E_tot	-14.003	eV per atom

Cell lengths 3.986, 3.986, 3.986 Å; angles 90.00, 90.00, 90.00 degrees
Fractional positions:
1 In 0.000 0.000 0.000
2 Ge 0.500 0.500 0.500
3 C 0.000 0.500 0.500
4 C 0.500 0.000 0.500
5 C 0.500 0.500 0.000

---

This record from Alexandria via LeMat-Bulk describes a crystal of ScInGe2C relaxed with PBEsol. The functional is meta-GGA SCAN.

Summary:
E_tot	-18.419	eV per atom

Cell lengths 4.319, 4.319, 4.760 Å; angles 90.00, 90.00, 90.00 degrees
Fractional positions:
1 Sc 0.000 0.000 0.000
2 In 0.500 0.500 0.000
3 Ge 0.000 0.500 0.500
4 Ge 0.500 0.000 0.500
5 C 0.500 0.500 0.500

---

This record from Alexandria via LeMat-Bulk describes a crystal of GeIrC2 relaxed with PBEsol. The functional is meta-GGA SCAN.

Summary:
E_tot	-26.827	eV per atom

Cell lengths 5.535, 5.535, 5.535 Å; angles 129.88, 129.88, 73.61 degrees
Fractional positions:
1 Ge 0.000 0.000 0.000
2 Ge 0.750 0.250 0.500
3 Ir 0.250 0.750 0.500
4 Ir 0.500 0.500 0.000
5 C 0.123 0.625 0.998
6 C 0.375 0.373 0.498
7 C 0.627 0.125 0.002
8 C 0.875 0.877 0.502

---

This record from Alexandria via LeMat-Bulk describes a crystal of GeIrCSe2 relaxed with PBEsol. The functional is meta-GGA SCAN.

Summary:
energy relative to the elements, uncorrected	1.75	eV per atom

Cell lengths 4.908, 4.908, 3.561 Å; angles 90.00, 90.00, 90.00 degrees
Fractional positions:
1 Ge 0.000 0.000 0.000
2 Ir 0.500 0.500 0.500
3 C 0.000 0.000 0.500
4 Se 0.000 0.500 0.000
5 Se 0.500 0.000 0.000

---

This record from Alexandria via LeMat-Bulk describes a crystal of TcGe2IrC relaxed with PBEsol. The functional is meta-GGA SCAN.

Summary:
E_tot	-28.830	eV per atom

Cell lengths 4.649, 4.649, 4.675 Å; angles 90.00, 90.00, 90.00 degrees
Fractional positions:
1 Tc 0.000 0.000 0.000
2 Ge 0.000 0.500 0.000
3 Ge 0.500 0.000 0.000
4 Ir 0.000 0.000 0.500
5 C 0.500 0.500 0.500

---

This record from Alexandria via LeMat-Bulk describes a crystal of K2GeC relaxed with PBEsol. The functional is meta-GGA SCAN.

Summary:
E_tot	-10.792	eV per atom

Cell lengths 8.605, 8.605, 8.605 Å; angles 92.92, 92.92, 153.91 degrees
Fractional positions:
1 K 0.375 0.145 0.270
2 K 0.855 0.125 0.230
3 K 0.875 0.105 0.730
4 K 0.895 0.625 0.770
5 Ge 0.250 0.750 0.500
6 Ge 0.500 0.500 0.000
7 C 0.000 0.000 0.000
8 C 0.750 0.250 0.500